Record 1
Entry from Alexandria via LeMat-Bulk: a geometry-optimized HfZnAu2F structure (GGA-PBE).

a = 5.1516 Å, b = 5.1516 Å, c = 3.5779 Å
α = 90.00°, β = 90.00°, γ = 90.00°
Space group P4/mmm (No. 123)
One atom of each set of equivalent atoms:
Hf 0.0000 0.0000 0.0000
Zn 0.5000 0.5000 0.0000
Au 0.0000 0.5000 0.5000
F 0.5000 0.5000 0.5000

Calculated values
Formation energy (no corrections): -83 meV/atom
Calculated volume: 94.95 Å³/cell

---

Record 2
Entry from Alexandria via LeMat-Bulk: a geometry-optimized KPdN2O structure (GGA-PBE).

a = 3.9098 Å, b = 3.9098 Å, c = 4.5420 Å
α = 90.00°, β = 90.00°, γ = 90.00°
Space group P4/mmm (No. 123)
One atom of each set of equivalent atoms:
K 0.0000 0.0000 0.0000
Pd 0.5000 0.5000 0.5000
N 0.0000 0.5000 0.5000
O 0.5000 0.5000 0.0000

Calculated values
Formation energy (no corrections): 990 meV/atom
Calculated volume: 69.43 Å³/cell

---

Record 3
Entry from Alexandria via LeMat-Bulk: a geometry-optimized Na2Nb2NiSe6 structure (GGA-PBE).

a = 6.3365 Å, b = 11.0709 Å, c = 7.4900 Å
α = 90.00°, β = 104.12°, γ = 90.00°
Space group C2/m (No. 12)
One atom of each set of equivalent atoms:
Na 0.0000 0.1832 0.0000
Nb 0.0000 0.3632 0.5000
Ni 0.0000 0.0000 0.5000
Se 0.2141 0.1682 0.6935
Se 0.2463 0.5000 0.7359

Calculated values
Formation energy (no corrections): -726 meV/atom
Calculated volume: 509.55 Å³/cell

---

Record 4
Entry from Alexandria via LeMat-Bulk: a geometry-optimized LaAsCBr2 structure (GGA-PBE).

a = 4.7590 Å, b = 4.7590 Å, c = 4.7482 Å
α = 90.00°, β = 90.00°, γ = 90.00°
Space group P4/mmm (No. 123)
One atom of each set of equivalent atoms:
La 0.0000 0.0000 0.0000
As 0.5000 0.5000 0.0000
C 0.5000 0.5000 0.5000
Br 0.0000 0.5000 0.5000

Calculated values
ΔE to the lowest computed polymorph: 0 meV per atom
Formation energy (no corrections): 177 meV/atom
Calculated volume: 107.54 Å³/cell

---

Record 5
Entry from Alexandria via LeMat-Bulk: a geometry-optimized Y2Er3Pd4 structure (GGA-PBE).

a = 7.5962 Å, b = 7.5803 Å, c = 7.6962 Å
α = 90.00°, β = 108.82°, γ = 90.00°
Space group P2_1/c (No. 14)
One atom of each set of equivalent atoms:
Y 0.1940 0.1777 0.0809
Er 0.2412 0.6639 0.2498
Er 0.5000 0.0000 0.5000
Pd 0.0891 0.5368 0.8615
Pd 0.4974 0.1327 0.8703

Calculated values
ΔE to the lowest computed polymorph: 0 meV per atom
Calculated volume: 419.48 Å³/cell
Energy of formation from the pure elements: -0.83 eV/atom

---

Record 6
Entry from Alexandria via LeMat-Bulk: a geometry-optimized Tl7Sb structure (GGA-PBE).

a = 5.2499 Å, b = 5.2499 Å, c = 17.8109 Å
α = 90.00°, β = 90.00°, γ = 90.00°
Space group I4/mmm (No. 139)
One atom of each set of equivalent atoms:
Tl 0.0000 0.0000 0.0000
Tl 0.0000 0.0000 0.2451
Tl 0.0000 0.5000 0.1225
Sb 0.0000 0.0000 0.5000

Calculated values
ΔE to the lowest computed polymorph: 0 meV per atom
Formation energy (no corrections): -9 meV/atom
Calculated volume: 490.90 Å³/cell

---

Record 7
Entry from Alexandria via LeMat-Bulk: a geometry-optimized Dy2Mn2Ni15 structure (GGA-PBE).

a = 8.3126 Å, b = 8.3126 Å, c = 12.2119 Å
α = 90.00°, β = 90.00°, γ = 120.00°
Space group R-3m (No. 166, hexagonal axes)
One atom of each set of equivalent atoms:
Dy 0.0000 0.0000 0.1542
Mn 0.0000 0.0000 0.3981
Ni 0.0000 0.2962 0.5000
Ni 0.0000 0.5000 0.0000
Ni 0.0005 0.5002 0.3451

Calculated values
Calculated volume: 730.79 Å³/cell
Energy of formation from the pure elements: -0.22 eV/atom

---

Record 8
Entry from Alexandria via LeMat-Bulk: a geometry-optimized AgRh4 structure (GGA-PBE).

a = 2.7420 Å, b = 3.8742 Å, c = 13.9633 Å
α = 90.00°, β = 90.00°, γ = 90.00°
Space group Immm (No. 71)
One atom of each set of equivalent atoms:
Ag 0.0000 0.0000 0.0000
Rh 0.0000 0.0000 0.2028
Rh 0.0000 0.0000 0.3943

Calculated values
ΔE to the lowest computed polymorph: 53 meV per atom
Calculated volume: 148.33 Å³/cell
Energy of formation from the pure elements: 0.18 eV/atom

---

Record 9
Entry from Alexandria via LeMat-Bulk: a geometry-optimized BaNaAc4 structure (GGA-PBE).

a = 10.7510 Å, b = 10.7510 Å, c = 10.7510 Å
α = 90.00°, β = 90.00°, γ = 90.00°
Space group F-43m (No. 216)
One atom of each set of equivalent atoms:
Ba 0.0000 0.0000 0.0000
Na 0.2500 0.2500 0.2500
Ac 0.1249 0.1249 0.6249

Calculated values
Calculated volume: 1242.65 Å³/cell
Energy of formation from the pure elements: 0.30 eV/atom

---

Record 10
Entry from Alexandria via LeMat-Bulk: a geometry-optimized TcOs3Cl structure (GGA-PBE).

a = 4.3083 Å, b = 4.3083 Å, c = 4.3083 Å
α = 90.00°, β = 90.00°, γ = 90.00°
Space group Pm-3m (No. 221)
One atom of each set of equivalent atoms:
Tc 0.0000 0.0000 0.0000
Os 0.0000 0.5000 0.5000
Cl 0.5000 0.5000 0.5000

Calculated values
ΔE to the lowest computed polymorph: 0 meV per atom
Formation energy (no corrections): 2022 meV/atom
Calculated volume: 79.97 Å³/cell

---

Record 11
Entry from Alexandria via LeMat-Bulk: a geometry-optimized CaAcInSb structure (GGA-PBE).

a = 7.9974 Å, b = 7.9974 Å, c = 7.9974 Å
α = 90.00°, β = 90.00°, γ = 90.00°
Space group F-43m (No. 216)
One atom of each set of equivalent atoms:
Ca 0.0000 0.0000 0.0000
Ac 0.0000 0.0000 0.5000
In 0.2500 0.2500 0.7500
Sb 0.2500 0.2500 0.2500

Calculated values
Formation energy (no corrections): -586 meV/atom
Calculated volume: 511.49 Å³/cell

---

Record 12
Entry from Alexandria via LeMat-Bulk: a geometry-optimized Tl5In4Hg2 structure (GGA-PBE).

a = 22.9622 Å, b = 3.3226 Å, c = 9.3649 Å
α = 90.00°, β = 103.76°, γ = 90.00°
Space group C2/m (No. 12)
One atom of each set of equivalent atoms:
Tl 0.0000 0.0000 0.0000
Tl 0.1262 0.5000 0.2244
Tl 0.2458 0.5000 0.8245
In 0.0050 0.5000 0.6725
In 0.1242 0.0000 0.8850
Hg 0.1264 0.5000 0.5613

Calculated values
ΔE to the lowest computed polymorph: 44 meV per atom
Calculated volume: 693.99 Å³/cell
Energy of formation from the pure elements: 0.06 eV/atom